{"formula": "Ba2GaSn2", "functional": "GGA-PBE", "state": "optimized geometry", "lattice": [[5.013, 0.000, 0.000], [2.507, 6.453, -0.363], [2.507, -0.282, 10.665]], "species": ["Ba", "Ba", "Ba", "Ba", "Sn", "Sn", "Sn", "Sn", "Ga", "Ga"], "frac_coords": [[0.663, 0.338, 0.337], [0.337, 0.662, 0.663], [0.928, 0.256, 0.888], [0.072, 0.744, 0.112], [0.637, 0.840, 0.886], [0.363, 0.160, 0.114], [0.894, 0.779, 0.432], [0.106, 0.221, 0.568], [0.354, 0.949, 0.343], [0.646, 0.051, 0.657]], "rho_g_cm3": 5.608, "de_polymorph_mev_per_atom": 0.0, "formation_enthalpy_0k_ev_per_atom": -0.581, "total_energy_ev_per_cell": -35.567}